# 1
# Nd6Y5Ho | the Alexandria database | PBE-GGA | relaxed
data_Nd6Y5Ho
_cell_length_a 11.885
_cell_length_b 6.292
_cell_length_c 6.292
_cell_angle_alpha 60.00
_cell_angle_beta 84.95
_cell_angle_gamma 79.87
_space_group_name_H-M_alt 'P 1'
_space_group_IT_number 1
loop_
_space_group_symop_operation_xyz
'x,y,z'
loop_
_atom_site_label
_atom_site_type_symbol
_atom_site_fract_x
_atom_site_fract_y
_atom_site_fract_z
Nd1 Nd 0.750 0.083 0.332
Nd2 Nd 0.250 0.585 0.332
Nd3 Nd 0.249 0.250 0.000
Nd4 Nd 0.751 0.750 0.000
Nd5 Nd 0.750 0.415 0.668
Nd6 Nd 0.250 0.917 0.668
Y1 Y 0.500 0.167 0.667
Y2 Y 0.000 0.333 0.333
Y3 Y 0.500 0.500 0.000
Y4 Y 0.000 0.667 0.667
Y5 Y 0.500 0.833 0.333
Ho1 Ho 0.000 0.000 0.000
# - ΔE_f (eV/atom) = 0.01

***

# 2
# Nd8Y3Ho3 | the Alexandria database | PBE-GGA | relaxed
data_Nd8Y3Ho3
_cell_length_a 5.698
_cell_length_b 9.802
_cell_length_c 9.802
_cell_angle_alpha 101.86
_cell_angle_beta 73.10
_cell_angle_gamma 73.10
_space_group_name_H-M_alt 'P 1'
_space_group_IT_number 1
loop_
_space_group_symop_operation_xyz
'x,y,z'
loop_
_atom_site_label
_atom_site_type_symbol
_atom_site_fract_x
_atom_site_fract_y
_atom_site_fract_z
Nd1 Nd 0.657 0.117 0.568
Nd2 Nd 0.343 0.883 0.432
Nd3 Nd 0.657 0.568 0.117
Nd4 Nd 0.343 0.432 0.883
Nd5 Nd 0.837 0.767 0.559
Nd6 Nd 0.163 0.233 0.441
Nd7 Nd 0.837 0.559 0.767
Nd8 Nd 0.163 0.441 0.233
Y1 Y 0.500 0.500 0.500
Y2 Y 0.805 0.195 0.195
Y3 Y 0.195 0.805 0.805
Ho1 Ho 0.500 0.000 0.000
Ho2 Ho 0.000 0.819 0.181
Ho3 Ho 0.000 0.181 0.819
# - ΔE_f (eV/atom) = 0.11

***

# 3
# Nd6YHo5 | the Alexandria database | PBE-GGA | relaxed
data_Nd6YHo5
_cell_length_a 11.835
_cell_length_b 6.269
_cell_length_c 6.268
_cell_angle_alpha 59.99
_cell_angle_beta 84.96
_cell_angle_gamma 79.87
_space_group_name_H-M_alt 'P 1'
_space_group_IT_number 1
loop_
_space_group_symop_operation_xyz
'x,y,z'
loop_
_atom_site_label
_atom_site_type_symbol
_atom_site_fract_x
_atom_site_fract_y
_atom_site_fract_z
Nd1 Nd 0.750 0.083 0.334
Nd2 Nd 0.250 0.583 0.334
Nd3 Nd 0.251 0.251 0.000
Nd4 Nd 0.749 0.749 0.000
Nd5 Nd 0.750 0.417 0.666
Nd6 Nd 0.250 0.917 0.666
Y1 Y 0.000 0.000 0.000
Ho1 Ho 0.500 0.167 0.667
Ho2 Ho 0.000 0.333 0.333
Ho3 Ho 0.500 0.500 0.000
Ho4 Ho 0.000 0.667 0.667
Ho5 Ho 0.500 0.833 0.333
# - ΔE_f (eV/atom) = 0.01

***

# 4
# Nd5Y4Ho | the Alexandria database | PBE-GGA | relaxed
data_Nd5Y4Ho
_cell_length_a 6.105
_cell_length_b 8.107
_cell_length_c 8.107
_cell_angle_alpha 81.85
_cell_angle_beta 67.88
_cell_angle_gamma 67.88
_space_group_name_H-M_alt 'P 1'
_space_group_IT_number 1
loop_
_space_group_symop_operation_xyz
'x,y,z'
loop_
_atom_site_label
_atom_site_type_symbol
_atom_site_fract_x
_atom_site_fract_y
_atom_site_fract_z
Nd1 Nd 0.768 0.377 0.999
Nd2 Nd 0.145 0.999 0.623
Nd3 Nd 0.768 0.001 0.377
Nd4 Nd 0.144 0.623 0.001
Nd5 Nd 0.687 0.000 0.000
Y1 Y 0.443 0.325 0.676
Y2 Y 0.768 0.676 0.675
Y3 Y 0.120 0.324 0.325
Y4 Y 0.444 0.675 0.324
Ho1 Ho 0.222 0.000 0.000
# - ΔE_f (eV/atom) = 0.25

***

# 5
# Nd4Y15Ho | the Alexandria database | PBE-GGA | relaxed
data_Nd4Y15Ho
_cell_length_a 5.083
_cell_length_b 5.083
_cell_length_c 25.333
_cell_angle_alpha 90.00
_cell_angle_beta 90.00
_cell_angle_gamma 90.00
_space_group_name_H-M_alt 'P 1'
_space_group_IT_number 1
loop_
_space_group_symop_operation_xyz
'x,y,z'
loop_
_atom_site_label
_atom_site_type_symbol
_atom_site_fract_x
_atom_site_fract_y
_atom_site_fract_z
Nd1 Nd 0.000 0.000 0.199
Nd2 Nd 0.000 0.000 0.400
Nd3 Nd 0.000 0.000 0.600
Nd4 Nd 0.000 0.000 0.801
Y1 Y 0.500 0.500 0.000
Y2 Y 0.500 0.500 0.199
Y3 Y 0.500 0.500 0.400
Y4 Y 0.500 0.500 0.600
Y5 Y 0.500 0.500 0.801
Y6 Y 0.500 0.000 0.098
Y7 Y 0.500 0.000 0.299
Y8 Y 0.500 0.000 0.500
Y9 Y 0.500 0.000 0.701
Y10 Y 0.500 0.000 0.902
Y11 Y 0.000 0.500 0.098
Y12 Y 0.000 0.500 0.299
Y13 Y 0.000 0.500 0.500
Y14 Y 0.000 0.500 0.701
Y15 Y 0.000 0.500 0.902
Ho1 Ho 0.000 0.000 0.000
# - ΔE_f (eV/atom) = 0.02

***

# 6
# NdY12Ho6 | the Alexandria database | PBE-GGA | relaxed
data_NdY12Ho6
_cell_length_a 8.732
_cell_length_b 9.420
_cell_length_c 9.420
_cell_angle_alpha 69.10
_cell_angle_beta 72.00
_cell_angle_gamma 108.00
_space_group_name_H-M_alt 'P 1'
_space_group_IT_number 1
loop_
_space_group_symop_operation_xyz
'x,y,z'
loop_
_atom_site_label
_atom_site_type_symbol
_atom_site_fract_x
_atom_site_fract_y
_atom_site_fract_z
Nd1 Nd 0.000 0.000 0.000
Y1 Y 0.525 0.842 0.265
Y2 Y 0.683 0.893 0.842
Y3 Y 0.789 0.265 0.893
Y4 Y 0.475 0.158 0.735
Y5 Y 0.317 0.107 0.158
Y6 Y 0.211 0.735 0.107
Y7 Y 0.263 0.423 0.630
Y8 Y 0.107 0.370 0.053
Y9 Y 0.159 0.053 0.577
Y10 Y 0.737 0.577 0.370
Y11 Y 0.893 0.630 0.947
Y12 Y 0.841 0.947 0.423
Ho1 Ho 0.421 0.473 0.210
Ho2 Ho 0.052 0.683 0.527
Ho3 Ho 0.368 0.790 0.683
Ho4 Ho 0.579 0.527 0.790
Ho5 Ho 0.948 0.317 0.473
Ho6 Ho 0.632 0.210 0.317
# - ΔE_f (eV/atom) = 0.02

***

# 7
# Nd6Y8Ho | the Alexandria database | PBE-GGA | relaxed
data_Nd6Y8Ho
_cell_length_a 9.155
_cell_length_b 9.155
_cell_length_c 8.782
_cell_angle_alpha 58.58
_cell_angle_beta 58.58
_cell_angle_gamma 60.00
_space_group_name_H-M_alt 'P 1'
_space_group_IT_number 1
loop_
_space_group_symop_operation_xyz
'x,y,z'
loop_
_atom_site_label
_atom_site_type_symbol
_atom_site_fract_x
_atom_site_fract_y
_atom_site_fract_z
Nd1 Nd 0.461 0.897 0.870
Nd2 Nd 0.103 0.228 0.130
Nd3 Nd 0.228 0.539 0.130
Nd4 Nd 0.772 0.461 0.870
Nd5 Nd 0.897 0.772 0.870
Nd6 Nd 0.539 0.103 0.130
Y1 Y 0.249 0.283 0.579
Y2 Y 0.717 0.112 0.421
Y3 Y 0.112 0.751 0.421
Y4 Y 0.577 0.577 0.268
Y5 Y 0.423 0.423 0.732
Y6 Y 0.888 0.249 0.579
Y7 Y 0.283 0.888 0.579
Y8 Y 0.751 0.717 0.421
Ho1 Ho 0.000 0.000 0.000
# - ΔE_f (eV/atom) = 0.12

***

# 8
# Nd4YHo2 | the Alexandria database | PBE-GGA | relaxed
data_Nd4YHo2
_cell_length_a 12.604
_cell_length_b 12.604
_cell_length_c 6.830
_cell_angle_alpha 97.03
_cell_angle_beta 97.03
_cell_angle_gamma 150.16
_space_group_name_H-M_alt 'P 1'
_space_group_IT_number 1
loop_
_space_group_symop_operation_xyz
'x,y,z'
loop_
_atom_site_label
_atom_site_type_symbol
_atom_site_fract_x
_atom_site_fract_y
_atom_site_fract_z
Nd1 Nd 0.713 0.175 0.863
Nd2 Nd 0.175 0.713 0.363
Nd3 Nd 0.185 0.794 0.895
Nd4 Nd 0.794 0.185 0.395
Nd5 Nd 0.041 0.149 0.605
Nd6 Nd 0.563 0.601 0.138
Nd7 Nd 0.601 0.563 0.638
Nd8 Nd 0.149 0.041 0.105
Y1 Y 0.422 0.672 0.500
Y2 Y 0.672 0.422 0.000
Ho1 Ho 0.621 0.303 0.451
Ho2 Ho 0.920 0.102 0.049
Ho3 Ho 0.102 0.920 0.549
Ho4 Ho 0.303 0.621 0.951
# - ΔE_f (eV/atom) = 0.06

***

# 9
# Nd7Y2Ho3 | the Alexandria database | PBE-GGA | relaxed
data_Nd7Y2Ho3
_cell_length_a 3.573
_cell_length_b 6.484
_cell_length_c 18.146
_cell_angle_alpha 75.06
_cell_angle_beta 90.00
_cell_angle_gamma 90.00
_space_group_name_H-M_alt 'P 1'
_space_group_IT_number 1
loop_
_space_group_symop_operation_xyz
'x,y,z'
loop_
_atom_site_label
_atom_site_type_symbol
_atom_site_fract_x
_atom_site_fract_y
_atom_site_fract_z
Nd1 Nd 0.500 0.236 0.505
Nd2 Nd 0.500 0.764 0.495
Nd3 Nd 0.000 0.557 0.166
Nd4 Nd 0.000 0.000 0.000
Nd5 Nd 0.000 0.443 0.834
Nd6 Nd 0.500 0.946 0.828
Nd7 Nd 0.500 0.054 0.172
Y1 Y 0.500 0.611 0.330
Y2 Y 0.500 0.389 0.670
Ho1 Ho 0.500 0.500 0.000
Ho2 Ho 0.000 0.114 0.341
Ho3 Ho 0.000 0.886 0.659
# - ΔE_f (eV/atom) = 0.07

***

# 10
# Nd5Y2Ho2 | the Alexandria database | PBE-GGA | relaxed
data_Nd5Y2Ho2
_cell_length_a 11.959
_cell_length_b 6.797
_cell_length_c 10.193
_cell_angle_alpha 109.48
_cell_angle_beta 125.92
_cell_angle_gamma 90.00
_space_group_name_H-M_alt 'P 1'
_space_group_IT_number 1
loop_
_space_group_symop_operation_xyz
'x,y,z'
loop_
_atom_site_label
_atom_site_type_symbol
_atom_site_fract_x
_atom_site_fract_y
_atom_site_fract_z
Nd1 Nd 0.182 0.667 0.901
Nd2 Nd 0.818 0.766 0.099
Nd3 Nd 0.219 0.167 0.901
Nd4 Nd 0.781 0.266 0.099
Nd5 Nd 0.370 0.030 0.289
Nd6 Nd 0.630 0.741 0.711
Nd7 Nd 0.419 0.530 0.289
Nd8 Nd 0.581 0.241 0.711
Nd9 Nd 0.016 0.651 0.500
Nd10 Nd 0.984 0.151 0.500
Y1 Y 0.139 0.670 0.257
Y2 Y 0.861 0.413 0.743
Y3 Y 0.618 0.170 0.257
Y4 Y 0.382 0.913 0.743
Ho1 Ho 0.000 0.062 0.000
Ho2 Ho 0.500 0.562 0.000
Ho3 Ho 0.249 0.336 0.500
Ho4 Ho 0.751 0.836 0.500
# - ΔE_f (eV/atom) = 0.21

***

# 11
# Nd3Y3Ho | the Alexandria database | PBE-GGA | relaxed
data_Nd3Y3Ho
_cell_length_a 8.798
_cell_length_b 8.798
_cell_length_c 8.836
_cell_angle_alpha 60.14
_cell_angle_beta 60.14
_cell_angle_gamma 60.00
_space_group_name_H-M_alt 'P 1'
_space_group_IT_number 1
loop_
_space_group_symop_operation_xyz
'x,y,z'
loop_
_atom_site_label
_atom_site_type_symbol
_atom_site_fract_x
_atom_site_fract_y
_atom_site_fract_z
Nd1 Nd 0.182 0.706 0.175
Nd2 Nd 0.937 0.182 0.175
Nd3 Nd 0.706 0.937 0.175
Nd4 Nd 0.294 0.063 0.825
Nd5 Nd 0.063 0.818 0.825
Nd6 Nd 0.818 0.294 0.825
Y1 Y 0.569 0.726 0.644
Y2 Y 0.726 0.061 0.644
Y3 Y 0.061 0.569 0.644
Y4 Y 0.939 0.431 0.356
Y5 Y 0.274 0.939 0.356
Y6 Y 0.431 0.274 0.356
Ho1 Ho 0.351 0.351 0.946
Ho2 Ho 0.649 0.649 0.054
# - ΔE_f (eV/atom) = 0.24

***

# 12
# Nd12YHo2 | the Alexandria database | PBE-GGA | relaxed
data_Nd12YHo2
_cell_length_a 6.853
_cell_length_b 6.853
_cell_length_c 25.044
_cell_angle_alpha 90.00
_cell_angle_beta 90.00
_cell_angle_gamma 116.50
_space_group_name_H-M_alt 'P 1'
_space_group_IT_number 1
loop_
_space_group_symop_operation_xyz
'x,y,z'
loop_
_atom_site_label
_atom_site_type_symbol
_atom_site_fract_x
_atom_site_fract_y
_atom_site_fract_z
Nd1 Nd 0.500 0.500 0.801
Nd2 Nd 0.000 0.000 0.801
Nd3 Nd 0.752 0.748 0.926
Nd4 Nd 0.251 0.751 0.869
Nd5 Nd 0.000 0.000 0.325
Nd6 Nd 0.249 0.749 0.131
Nd7 Nd 0.769 0.269 0.585
Nd8 Nd 0.500 0.500 0.325
Nd9 Nd 0.248 0.252 0.926
Nd10 Nd 0.748 0.752 0.074
Nd11 Nd 0.273 0.227 0.560
Nd12 Nd 0.731 0.231 0.415
Nd13 Nd 0.000 0.000 0.675
Nd14 Nd 0.227 0.273 0.440
Nd15 Nd 0.252 0.248 0.074
Nd16 Nd 0.773 0.727 0.440
Nd17 Nd 0.727 0.773 0.560
Nd18 Nd 0.000 0.000 0.199
Nd19 Nd 0.231 0.731 0.585
Nd20 Nd 0.500 0.500 0.675
Nd21 Nd 0.749 0.249 0.869
Nd22 Nd 0.500 0.500 0.199
Nd23 Nd 0.269 0.769 0.415
Nd24 Nd 0.751 0.251 0.131
Y1 Y 0.500 0.000 0.999
Y2 Y 0.000 0.500 0.001
Ho1 Ho 0.500 0.000 0.267
Ho2 Ho 0.000 0.500 0.271
Ho3 Ho 0.000 0.500 0.733
Ho4 Ho 0.500 0.000 0.729
# - ΔE_f (eV/atom) = 0.16